Here is a geometry-optimized LiPmZnHg structure from Alexandria via LeMat-Bulk. Energies are from GGA-PBE.

Output
As for the formation enthalpy at 0 K: -1.377 eV/f.u. Its space-group type is No. 216. Its crystal system is cubic. The calculated volume comes out at 89 Å³ per cell. As for the size of the total moment: 0.0 μB per cell.

Cell lengths 5.006, 5.006, 5.006 Å; angles 60.00, 60.00, 60.00 degrees
Sites, in units of the cell vectors:
Li 0.000 0.000 0.000
Pm 0.500 0.500 0.500
Zn 0.750 0.750 0.750
Hg 0.250 0.250 0.250